The following is a DFT calculation (PBE) of crystalline Y3Si2SnPd9 at its relaxed geometry. Values from VASP.

Geometry as Quantum ESPRESSO input:
```
&SYSTEM
  ibrav = 0, nat = 15, ntyp = 4
/
ATOMIC_SPECIES
Y 88.91 Y.upf
Pd 106.42 Pd.upf
Si 28.09 Si.upf
Sn 118.71 Sn.upf
CELL_PARAMETERS angstrom
-1.1908 -0.4336 6.1736
2.4408 -4.9198 -3.0916
8.5953 3.0863 1.8746
ATOMIC_POSITIONS angstrom
Y 0.0000 0.0000 0.0000
Y 2.3425 -1.0949 3.5918
Y 7.5028 -1.1721 1.3648
Pd 0.6250 -2.6767 1.5410
Pd -0.5954 -0.2168 3.0868
Pd 1.2204 -2.4599 -1.5458
Pd 4.2402 -3.4272 -1.2289
Pd 3.5716 -3.6706 2.2372
Pd 6.9755 -1.6019 4.4498
Pd 5.6051 1.1602 6.1856
Pd 2.8698 -0.6651 0.5068
Pd 6.2737 1.4036 2.7194
Si 7.1773 0.6411 4.6463
Si 2.6680 -2.9081 0.3104
Sn 4.2976 1.5432 0.9373
```

Properties
DFT total energy: -90.29 eV per formula unit
formation energy from raw total energies: -621 meV/atom

=====

The following is a DFT calculation (PBE) of crystalline ZnSi2SnPd at its relaxed geometry. Values from VASP.

Geometry as Quantum ESPRESSO input:
```
&SYSTEM
  ibrav = 0, nat = 5, ntyp = 4
/
ATOMIC_SPECIES
Zn 65.41 Zn.upf
Sn 118.71 Sn.upf
Si 28.09 Si.upf
Pd 106.42 Pd.upf
CELL_PARAMETERS angstrom
5.1186 0.0000 0.0000
0.0000 4.9274 0.0000
0.0000 0.0000 5.1186
ATOMIC_POSITIONS angstrom
Zn 0.0000 2.4637 0.0000
Sn 0.0000 0.0000 0.0000
Si 0.0000 0.0000 2.5593
Si 2.5593 0.0000 0.0000
Pd 2.5593 2.4637 2.5593
```

Properties
DFT total energy: -15.17 eV per formula unit
formation energy from raw total energies: 1229 meV/atom

=====

The following is a DFT calculation (PBE) of crystalline Zr2SiSnPd at its relaxed geometry. Values from VASP.

Geometry as Quantum ESPRESSO input:
```
&SYSTEM
  ibrav = 0, nat = 5, ntyp = 4
/
ATOMIC_SPECIES
Pd 106.42 Pd.upf
Zr 91.22 Zr.upf
Si 28.09 Si.upf
Sn 118.71 Sn.upf
CELL_PARAMETERS angstrom
-2.4342 2.8133 3.8370
-4.2206 -1.5518 -1.5398
0.3413 -4.1957 3.2928
ATOMIC_POSITIONS angstrom
Pd -3.1567 -1.4671 2.7950
Zr 0.1707 -2.0978 1.6464
Zr -1.2171 1.4066 1.9185
Si -2.1103 -0.7759 -0.7699
Sn 0.0000 0.0000 0.0000
```

Properties
DFT total energy: -26.04 eV per formula unit
formation energy from raw total energies: 1136 meV/atom